Entry 1:
{"formula": "TbSmCdGa", "functional": "PBE", "state": "relaxed", "lattice_angstrom": [[5.242, 0.000, 0.000], [2.621, 4.540, 0.000], [2.621, 1.513, 4.280]], "species": ["Sm", "Ga", "Tb", "Cd"], "fractional_positions": [[0.000, 0.000, 0.000], [0.250, 0.250, 0.250], [0.500, 0.500, 0.500], [0.750, 0.750, 0.750]], "dft_energy_ev_per_atom": -3.763, "ef_ev_per_fu": -1.76, "vol_a3_per_atom": 25.47}

=====

Entry 2:
{"formula": "BaSiRu2", "functional": "PBE", "state": "relaxed", "lattice_angstrom": [[9.740, 0.020, 0.012], [9.259, 3.023, 0.012], [9.259, 1.483, 2.634]], "species": ["Ba", "Ru", "Si", "Ru"], "fractional_positions": [[0.750, 0.750, 0.750], [0.246, 0.246, 0.246], [0.519, 0.519, 0.519], [0.984, 0.984, 0.984]], "dft_energy_ev_per_atom": -5.804, "raw_formation_energy_mev_per_atom": 670, "vol_a3_per_atom": 19.18}

=====

Entry 3:
{"formula": "CsNa2AgCl", "functional": "PBE", "state": "relaxed", "lattice_angstrom": [[7.356, 0.000, 0.000], [0.000, 6.320, 0.000], [0.000, 0.000, 7.356]], "species": ["Cs", "Cl", "Na", "Ag", "Na"], "fractional_positions": [[0.000, 0.000, 0.000], [0.500, 0.500, 0.500], [0.500, 0.000, 0.000], [0.000, 0.500, 0.000], [0.000, 0.000, 0.500]], "dft_energy_ev_per_atom": -1.311, "raw_formation_energy_mev_per_atom": 327, "vol_a3_per_atom": 68.39}

=====

Entry 4:
{"formula": "HfUBi2", "functional": "PBE", "state": "relaxed", "lattice_angstrom": [[-0.576, -3.700, -0.640], [2.850, -1.174, 4.219], [-4.307, 0.160, 2.954]], "species": ["Bi", "U", "Bi", "Hf"], "fractional_positions": [[0.000, 0.500, 0.000], [0.500, 0.000, 0.000], [0.000, 0.000, 0.500], [0.500, 0.500, 0.500]], "dft_energy_ev_per_atom": -7.143, "ef_ev_per_fu": 0.43, "de_polymorph_ev_per_atom": 0.000, "vol_a3_per_atom": 25.93}

=====

Entry 5:
{"formula": "Pr2Sn8Pd", "functional": "PBE", "state": "relaxed", "lattice_angstrom": [[-3.228, 3.289, -1.117], [-1.772, -2.871, -3.332], [-8.231, -5.099, 8.771]], "species": ["Pd", "Sn", "Sn", "Sn", "Sn", "Sn", "Sn", "Pr", "Sn", "Pr", "Sn"], "fractional_positions": [[0.000, 0.000, 0.000], [0.500, 0.000, 0.500], [0.500, 0.500, 0.304], [0.500, 0.000, 0.123], [0.000, 0.500, 0.123], [0.500, 0.500, 0.696], [0.000, 0.500, 0.877], [0.000, 0.000, 0.677], [0.500, 0.000, 0.877], [0.000, 0.000, 0.323], [0.000, 0.500, 0.500]], "dft_energy_ev_per_atom": -4.677, "ef_ev_per_fu": -4.67, "vol_a3_per_atom": 26.70}

=====

Entry 6:
{"formula": "LaTaC2", "functional": "PBE", "state": "relaxed", "lattice_angstrom": [[2.251, -0.029, 3.635], [-1.953, -0.801, 3.718], [0.718, -3.688, 2.041]], "species": ["C", "La", "Ta", "C"], "fractional_positions": [[0.250, 0.250, 0.250], [0.000, 0.000, 0.000], [0.500, 0.500, 0.500], [0.750, 0.750, 0.750]], "dft_energy_ev_per_atom": -7.816, "ef_ev_per_fu": 3.96, "de_polymorph_ev_per_atom": 1.174, "vol_a3_per_atom": 13.82}

=====

Entry 7:
{"formula": "TcSF3", "functional": "PBE", "state": "relaxed", "lattice_angstrom": [[4.939, -0.018, -0.002], [0.016, 4.426, -0.014], [0.001, 0.027, 8.532]], "species": ["F", "F", "F", "F", "S", "S", "F", "Tc", "Tc", "F"], "fractional_positions": [[0.090, 0.426, 0.007], [0.090, 0.426, 0.591], [0.095, 0.927, 0.299], [0.590, 0.926, 0.507], [0.127, 0.926, 0.799], [0.627, 0.426, 0.299], [0.590, 0.926, 0.091], [0.719, 0.926, 0.299], [0.219, 0.426, 0.799], [0.595, 0.426, 0.799]], "dft_energy_ev_per_atom": -5.272, "raw_formation_energy_mev_per_atom": -1250, "de_polymorph_ev_per_atom": 0.223, "vol_a3_per_atom": 18.65}

=====

Entry 8:
{"formula": "KSc2Os", "functional": "PBE", "state": "relaxed", "lattice_angstrom": [[9.321, -0.047, -0.028], [8.471, 3.889, -0.028], [8.471, 1.829, 3.432]], "species": ["Sc", "Os", "K", "Sc"], "fractional_positions": [[0.040, 0.040, 0.040], [0.750, 0.750, 0.750], [0.250, 0.250, 0.250], [0.460, 0.460, 0.460]], "dft_energy_ev_per_atom": -6.109, "ef_ev_per_fu": 0.55, "de_polymorph_ev_per_atom": 0.223, "vol_a3_per_atom": 31.69}

=====

Entry 9:
{"formula": "PaNb2S", "functional": "PBE", "state": "relaxed", "lattice_angstrom": [[-1.812, -2.507, -0.234], [1.203, -2.702, -0.934], [1.712, -3.948, 8.474]], "species": ["S", "Pa", "Nb", "Nb"], "fractional_positions": [[0.500, 0.500, 0.500], [0.000, 0.000, 0.000], [0.101, 0.101, 0.696], [0.899, 0.899, 0.304]], "dft_energy_ev_per_atom": -8.412, "raw_formation_energy_mev_per_atom": 29, "vol_a3_per_atom": 19.45}

=====

Entry 10:
{"formula": "ZrTcPO2", "functional": "PBE", "state": "relaxed", "lattice_angstrom": [[-2.931, 2.117, -1.177], [-1.694, -3.112, -1.378], [-2.349, -0.730, 4.537]], "species": ["P", "Tc", "O", "O", "Zr"], "fractional_positions": [[0.000, 0.000, 0.500], [0.000, 0.000, 0.000], [0.000, 0.500, 0.000], [0.500, 0.000, 0.000], [0.500, 0.500, 0.500]], "dft_energy_ev_per_atom": -7.745, "raw_formation_energy_mev_per_atom": -897, "de_polymorph_ev_per_atom": 0.000, "vol_a3_per_atom": 14.92}

=====

Entry 11:
{"formula": "Rb12Na3Hg5", "functional": "PBE", "state": "relaxed", "lattice_angstrom": [[19.509, 0.000, 0.000], [-6.503, 18.393, 0.000], [-6.503, -9.197, 15.929]], "species": ["Rb", "Hg", "Na", "Na", "Rb", "Rb", "Na", "Rb", "Rb", "Rb", "Rb", "Rb", "Rb", "Rb", "Rb", "Hg", "Rb", "Rb", "Hg", "Rb", "Rb", "Rb", "Hg", "Rb", "Hg", "Rb", "Rb", "Rb", "Rb", "Rb", "Rb", "Rb", "Rb", "Hg", "Hg", "Hg", "Hg", "Rb", "Rb", "Rb", "Rb", "Hg", "Rb", "Hg", "Rb", "Rb", "Rb", "Rb", "Rb", "Rb", "Rb", "Rb", "Hg", "Na", "Rb", "Hg", "Hg", "Na", "Na", "Rb", "Na", "Rb", "Hg", "Rb", "Hg", "Na", "Rb", "Na", "Rb", "Na", "Hg", "Rb", "Hg", "Na", "Hg", "Rb", "Na", "Rb", "Rb", "Hg"], "fractional_positions": [[0.174, 0.077, 0.960], [0.000, 0.000, 0.000], [0.125, 0.250, 0.875], [0.625, 0.250, 0.375], [0.383, 0.960, 0.786], [0.117, 0.403, 0.077], [0.250, 0.625, 0.875], [0.617, 0.577, 0.903], [0.674, 0.214, 0.597], [0.040, 0.617, 0.714], [0.214, 0.540, 0.617], [0.423, 0.040, 0.326], [0.786, 0.460, 0.383], [0.960, 0.577, 0.174], [0.077, 0.903, 0.117], [0.000, 0.500, 0.000], [0.786, 0.326, 0.903], [0.617, 0.040, 0.214], [0.750, 0.625, 0.375], [0.674, 0.460, 0.577], [0.423, 0.383, 0.597], [0.460, 0.786, 0.883], [0.500, 0.500, 0.500], [0.597, 0.883, 0.423], [0.375, 0.125, 0.750], [0.403, 0.117, 0.577], [0.714, 0.597, 0.174], [0.097, 0.174, 0.214], [0.903, 0.826, 0.786], [0.577, 0.960, 0.674], [0.286, 0.883, 0.960], [0.540, 0.214, 0.117], [0.540, 0.326, 0.923], [0.500, 0.000, 0.500], [0.000, 0.500, 0.500], [0.875, 0.250, 0.625], [0.000, 0.000, 0.500], [0.326, 0.540, 0.423], [0.883, 0.286, 0.460], [0.577, 0.617, 0.403], [0.077, 0.174, 0.460], [0.625, 0.875, 0.250], [0.903, 0.077, 0.617], [0.875, 0.625, 0.750], [0.174, 0.097, 0.714], [0.383, 0.423, 0.097], [0.826, 0.903, 0.286], [0.826, 0.923, 0.040], [0.460, 0.674, 0.077], [0.714, 0.117, 0.040], [0.403, 0.286, 0.326], [0.960, 0.383, 0.286], [0.375, 0.250, 0.125], [0.750, 0.375, 0.125], [0.286, 0.403, 0.826], [0.500, 0.500, 0.000], [0.125, 0.375, 0.250], [0.375, 0.750, 0.625], [0.125, 0.875, 0.750], [0.923, 0.826, 0.540], [0.625, 0.375, 0.750], [0.923, 0.097, 0.883], [0.625, 0.750, 0.875], [0.326, 0.786, 0.403], [0.250, 0.375, 0.625], [0.250, 0.125, 0.375], [0.883, 0.597, 0.923], [0.875, 0.750, 0.125], [0.097, 0.923, 0.383], [0.375, 0.625, 0.250], [0.125, 0.750, 0.375], [0.117, 0.714, 0.540], [0.500, 0.000, 0.000], [0.750, 0.875, 0.625], [0.250, 0.875, 0.125], [0.214, 0.674, 0.097], [0.875, 0.125, 0.250], [0.597, 0.714, 0.674], [0.040, 0.423, 0.826], [0.750, 0.125, 0.875]], "dft_energy_ev_per_atom": -0.837, "ef_ev_per_fu": 0.34, "vol_a3_per_atom": 71.45}

=====

Entry 12:
{"formula": "TePt2W", "functional": "PBE", "state": "relaxed", "lattice_angstrom": [[4.705, 0.006, 0.100], [3.800, 2.774, 0.100], [1.050, 0.343, 6.572]], "species": ["Pt", "Te", "Pt", "W"], "fractional_positions": [[0.279, 0.279, 0.180], [0.419, 0.419, 0.504], [0.031, 0.031, 0.973], [0.771, 0.771, 0.843]], "dft_energy_ev_per_atom": -6.883, "raw_formation_energy_mev_per_atom": 161, "vol_a3_per_atom": 21.32}

=====

Entry 13:
{"formula": "MgZrPt2", "functional": "PBE", "state": "relaxed", "lattice_angstrom": [[4.981, -1.527, -2.982], [-1.306, 5.043, 2.982], [-3.499, -0.022, 4.877]], "species": ["Pt", "Mg", "Zr", "Pt"], "fractional_positions": [[0.000, 0.253, 0.253], [0.000, 0.000, 0.000], [0.000, 0.500, 0.500], [0.000, 0.747, 0.747]], "dft_energy_ev_per_atom": -5.564, "ef_ev_per_fu": -0.03, "vol_a3_per_atom": 19.08}

=====

Entry 14:
{"formula": "SrErP2S8", "functional": "PBE", "state": "relaxed", "lattice_angstrom": [[-4.160, -2.928, 3.201], [4.397, -3.059, -2.726], [5.169, 0.795, 7.445]], "species": ["S", "S", "Er", "S", "S", "P", "S", "P", "S", "S", "Sr", "S"], "fractional_positions": [[0.000, 0.342, 0.696], [0.667, 0.333, 0.018], [0.000, 0.000, 0.500], [0.341, 0.000, 0.696], [0.000, 0.658, 0.304], [0.333, 0.667, 0.758], [0.658, 0.659, 0.696], [0.667, 0.333, 0.242], [0.659, 0.000, 0.304], [0.342, 0.341, 0.304], [0.000, 0.000, 0.000], [0.333, 0.667, 0.982]], "dft_energy_ev_per_atom": -4.976, "raw_formation_energy_mev_per_atom": -803, "vol_a3_per_atom": 23.72}

=====

Entry 15:
{"formula": "SrCd9Ag3", "functional": "PBE", "state": "relaxed", "lattice_angstrom": [[-4.053, 3.243, -2.205], [-6.731, -3.848, -0.844], [-4.006, 3.636, 5.499]], "species": ["Cd", "Ag", "Cd", "Cd", "Cd", "Ag", "Cd", "Cd", "Cd", "Ag", "Cd", "Cd", "Sr"], "fractional_positions": [[0.007, 0.654, 0.355], [0.500, 0.500, 0.000], [0.993, 0.346, 0.645], [0.638, 0.346, 0.355], [0.362, 0.654, 0.645], [0.500, 0.000, 0.500], [0.287, 0.213, 0.218], [0.713, 0.787, 0.782], [0.504, 0.213, 0.782], [0.000, 0.000, 0.500], [0.496, 0.787, 0.218], [0.000, 0.500, 0.000], [0.000, 0.000, 0.000]], "dft_energy_ev_per_atom": -1.562, "ef_ev_per_fu": -1.83, "vol_a3_per_atom": 22.48}

=====

Entry 16:
{"formula": "TbSmAl2", "functional": "PBE", "state": "relaxed", "lattice_angstrom": [[3.648, 0.000, 0.000], [0.000, 3.648, 0.000], [0.000, 0.000, 7.285]], "species": ["Sm", "Al", "Al", "Tb"], "fractional_positions": [[0.500, 0.500, 0.500], [0.000, 0.000, 0.758], [0.000, 0.000, 0.242], [0.500, 0.500, 0.000]], "dft_energy_ev_per_atom": -4.595, "ef_ev_per_fu": -1.55, "vol_a3_per_atom": 24.24}

=====

Entry 17:
{"formula": "HoZn2Cu", "functional": "PBE", "state": "relaxed", "lattice_angstrom": [[-1.329, -3.895, 0.824], [2.392, 2.267, 4.010], [-6.149, 2.567, 2.217]], "species": ["Zn", "Zn", "Zn", "Zn", "Cu", "Ho", "Ho", "Cu"], "fractional_positions": [[0.637, 0.274, 0.058], [0.363, 0.726, 0.558], [0.363, 0.726, 0.942], [0.637, 0.274, 0.442], [0.783, 0.565, 0.750], [0.924, 0.851, 0.250], [0.076, 0.149, 0.750], [0.217, 0.435, 0.250]], "dft_energy_ev_per_atom": -3.135, "ef_ev_per_fu": -1.32, "vol_a3_per_atom": 17.53}

=====

Entry 18:
{"formula": "MgCdN2F", "functional": "PBE", "state": "relaxed", "lattice_angstrom": [[4.235, 0.000, 0.000], [0.000, 4.235, 0.000], [0.000, 0.000, 3.771]], "species": ["N", "Mg", "F", "Cd", "N"], "fractional_positions": [[0.000, 0.500, 0.000], [0.000, 0.000, 0.000], [0.000, 0.000, 0.500], [0.500, 0.500, 0.500], [0.500, 0.000, 0.000]], "dft_energy_ev_per_atom": -4.002, "raw_formation_energy_mev_per_atom": 205, "de_polymorph_ev_per_atom": 0.000, "vol_a3_per_atom": 13.53}

=====

Entry 19:
{"formula": "NaSr2AgH", "functional": "PBE", "state": "relaxed", "lattice_angstrom": [[-3.676, -3.847, 0.218], [3.029, -2.699, 3.450], [-2.105, 2.214, 3.581]], "species": ["Sr", "Ag", "H", "Na", "Sr"], "fractional_positions": [[0.000, 0.500, 0.000], [0.500, 0.500, 0.500], [0.000, 0.000, 0.000], [0.000, 0.000, 0.500], [0.500, 0.000, 0.000]], "dft_energy_ev_per_atom": -2.365, "vol_a3_per_atom": 26.70}

=====

Entry 20:
{"formula": "PmGe4Ru2", "functional": "PBE", "state": "relaxed", "lattice_angstrom": [[-1.192, -1.060, -3.905], [0.196, -6.245, 1.636], [-17.468, 0.792, 5.116]], "species": ["Ge", "Ru", "Ru", "Ru", "Ge", "Ge", "Ge", "Ru", "Ru", "Ge", "Ru", "Pm", "Ge", "Ge", "Pm", "Ru", "Pm", "Ge", "Ge", "Ge", "Pm", "Ge", "Ge", "Ge", "Ge", "Ge", "Ge", "Ru"], "fractional_positions": [[0.250, 0.127, 0.533], [0.750, 0.210, 0.975], [0.250, 0.535, 0.284], [0.250, 0.790, 0.025], [0.750, 0.181, 0.818], [0.750, 0.873, 0.467], [0.750, 0.762, 0.803], [0.250, 0.965, 0.784], [0.750, 0.290, 0.475], [0.250, 0.681, 0.682], [0.750, 0.465, 0.716], [0.750, 0.516, 0.139], [0.250, 0.238, 0.197], [0.250, 0.490, 0.417], [0.250, 0.016, 0.361], [0.250, 0.710, 0.525], [0.750, 0.984, 0.639], [0.750, 0.990, 0.083], [0.750, 0.627, 0.967], [0.750, 0.319, 0.318], [0.250, 0.484, 0.861], [0.750, 0.510, 0.583], [0.750, 0.738, 0.303], [0.250, 0.010, 0.917], [0.250, 0.819, 0.182], [0.250, 0.262, 0.697], [0.250, 0.373, 0.033], [0.750, 0.035, 0.216]], "dft_energy_ev_per_atom": -6.433, "ef_ev_per_fu": -3.26, "de_polymorph_ev_per_atom": 0.000, "vol_a3_per_atom": 17.73}

=====

Entry 21:
{"formula": "Fe2ReSe", "functional": "PBE", "state": "relaxed", "lattice_angstrom": [[-5.475, -2.850, 5.117], [-6.684, -3.585, 2.598], [-4.680, -5.291, 3.791]], "species": ["Fe", "Re", "Fe", "Se"], "fractional_positions": [[0.747, 0.747, 0.747], [0.499, 0.499, 0.499], [0.003, 0.003, 0.003], [0.252, 0.252, 0.252]], "dft_energy_ev_per_atom": -7.846, "raw_formation_energy_mev_per_atom": 368, "vol_a3_per_atom": 14.17}

=====

Entry 22:
{"formula": "Sc2AsSe", "functional": "PBE", "state": "relaxed", "lattice_angstrom": [[4.038, -6.517, 2.089], [6.689, -3.425, 2.583], [3.902, -4.221, 5.486]], "species": ["Se", "Sc", "As", "Sc"], "fractional_positions": [[0.000, 0.000, 0.000], [0.892, 0.892, 0.892], [0.500, 0.500, 0.500], [0.108, 0.108, 0.108]], "dft_energy_ev_per_atom": -6.222, "raw_formation_energy_mev_per_atom": -1023, "de_polymorph_ev_per_atom": 0.531, "vol_a3_per_atom": 27.64}